No. 1
Compound: CaAc6Nd12
Source: Alexandria
Functional: PBE
Structure: relaxed

Geometry as POSCAR:
```
CaAc6Nd12
1.0
-4.415 3.560 7.352
0.818 -8.762 2.962
8.584 2.949 1.955
Ca Ac Nd
1 6 12
Direct
0.000 0.000 0.000 Ca
0.895 0.339 0.895 Ac
0.895 0.895 0.339 Ac
0.339 0.895 0.895 Ac
0.105 0.105 0.661 Ac
0.105 0.661 0.105 Ac
0.661 0.105 0.105 Ac
0.755 0.245 0.500 Nd
0.358 0.077 0.358 Nd
0.358 0.358 0.077 Nd
0.923 0.642 0.642 Nd
0.642 0.642 0.923 Nd
0.642 0.923 0.642 Nd
0.500 0.755 0.245 Nd
0.245 0.500 0.755 Nd
0.245 0.755 0.500 Nd
0.500 0.245 0.755 Nd
0.755 0.500 0.245 Nd
0.077 0.358 0.358 Nd
```

Summary:
space group = R-3m
calculated density = 6.76 Mg/m³
DFT formation energy = 4.1 eV per formula unit
calculated total energy = -4.20 eV/atom


No. 2
Compound: Th2PdRh5Pb
Source: Alexandria
Functional: PBE
Structure: relaxed

Geometry as POSCAR:
```
Th2PdRh5Pb
1.0
-3.346 1.628 -7.572
-3.011 -7.873 -0.362
-1.300 4.729 6.291
Th Pd Rh Pb
4 2 10 2
Direct
0.141 0.359 0.000 Th
0.641 0.141 0.000 Th
0.359 0.859 0.000 Th
0.859 0.641 0.000 Th
0.250 0.750 0.500 Pd
0.750 0.250 0.500 Pd
0.946 0.446 0.271 Rh
0.675 0.175 0.729 Rh
0.054 0.554 0.729 Rh
0.175 0.054 0.729 Rh
0.554 0.675 0.729 Rh
0.825 0.946 0.271 Rh
0.446 0.325 0.271 Rh
0.325 0.825 0.271 Rh
0.500 0.500 0.000 Rh
0.000 0.000 0.000 Rh
0.250 0.250 0.500 Pb
0.750 0.750 0.500 Pb
```

Summary:
space group = I4/mcm
calculated density = 11.39 Mg/m³
DFT formation energy = -1.6 eV per formula unit
calculated total energy = -6.90 eV/atom


No. 3
Compound: La3Hg5H12
Source: Alexandria
Functional: PBE
Structure: relaxed

Geometry as POSCAR:
```
La3Hg5H12
1.0
11.548 0.000 0.000
-3.849 10.888 0.000
-3.849 -5.444 9.429
La Hg H
12 20 48
Direct
0.750 0.375 0.125 La
0.875 0.750 0.125 La
0.375 0.750 0.625 La
0.250 0.125 0.375 La
0.875 0.125 0.250 La
0.375 0.625 0.250 La
0.625 0.375 0.750 La
0.125 0.875 0.750 La
0.750 0.875 0.625 La
0.625 0.250 0.375 La
0.125 0.250 0.875 La
0.250 0.625 0.875 La
0.125 0.375 0.250 Hg
0.000 0.500 0.000 Hg
0.000 0.000 0.000 Hg
0.375 0.250 0.125 Hg
0.500 0.000 0.500 Hg
0.500 0.500 0.000 Hg
0.125 0.750 0.375 Hg
0.750 0.125 0.875 Hg
0.750 0.625 0.375 Hg
0.375 0.125 0.750 Hg
0.625 0.875 0.250 Hg
0.500 0.500 0.500 Hg
0.500 0.000 0.000 Hg
0.000 0.000 0.500 Hg
0.250 0.375 0.625 Hg
0.250 0.875 0.125 Hg
0.000 0.500 0.500 Hg
0.875 0.250 0.625 Hg
0.625 0.750 0.875 Hg
0.875 0.625 0.750 Hg
0.756 0.154 0.049 H
0.293 0.549 0.395 H
0.951 0.346 0.244 H
0.549 0.256 0.154 H
0.602 0.756 0.707 H
0.951 0.605 0.207 H
0.293 0.744 0.398 H
0.105 0.898 0.154 H
0.605 0.951 0.707 H
0.756 0.602 0.207 H
0.744 0.451 0.346 H
0.793 0.895 0.049 H
0.154 0.756 0.549 H
0.346 0.395 0.102 H
0.102 0.895 0.346 H
0.398 0.154 0.605 H
0.102 0.207 0.256 H
0.451 0.707 0.105 H
0.793 0.898 0.244 H
0.154 0.398 0.105 H
0.346 0.951 0.744 H
0.605 0.654 0.398 H
0.895 0.793 0.549 H
0.744 0.293 0.898 H
0.395 0.346 0.602 H
0.105 0.207 0.451 H
0.256 0.707 0.102 H
0.207 0.102 0.756 H
0.654 0.049 0.256 H
0.846 0.602 0.895 H
0.549 0.293 0.895 H
0.602 0.846 0.395 H
0.898 0.793 0.744 H
0.898 0.105 0.654 H
0.846 0.244 0.451 H
0.207 0.105 0.951 H
0.654 0.605 0.898 H
0.395 0.049 0.293 H
0.244 0.398 0.793 H
0.256 0.549 0.654 H
0.895 0.102 0.846 H
0.707 0.256 0.602 H
0.451 0.744 0.846 H
0.049 0.395 0.793 H
0.398 0.244 0.293 H
0.049 0.654 0.756 H
0.707 0.451 0.605 H
0.244 0.846 0.951 H
```

Summary:
space group = Ia-3d
calculated density = 8.02 Mg/m³
calculated total energy = -2.88 eV/atom


No. 4
Compound: TbCeNi
Source: Alexandria
Functional: PBE
Structure: relaxed

Geometry as POSCAR:
```
TbCeNi
1.0
-3.657 0.762 0.280
1.125 -3.374 -1.176
0.025 -2.084 6.005
Ni Tb Ce
1 1 1
Direct
0.333 0.667 0.660 Ni
0.000 0.000 0.933 Tb
0.667 0.333 0.407 Ce
```

Summary:
space group = P3m1
calculated density = 7.69 Mg/m³
distance to the lowest polymorph of the same formula = 64 meV per atom
DFT formation energy = -0.3 eV per formula unit
calculated total energy = -5.53 eV/atom


Please write out number 1 again, unchanged.
Compound: CaAc6Nd12
Source: Alexandria
Functional: PBE
Structure: relaxed

Geometry as POSCAR:
```
CaAc6Nd12
1.0
-4.415 3.560 7.352
0.818 -8.762 2.962
8.584 2.949 1.955
Ca Ac Nd
1 6 12
Direct
0.000 0.000 0.000 Ca
0.895 0.339 0.895 Ac
0.895 0.895 0.339 Ac
0.339 0.895 0.895 Ac
0.105 0.105 0.661 Ac
0.105 0.661 0.105 Ac
0.661 0.105 0.105 Ac
0.755 0.245 0.500 Nd
0.358 0.077 0.358 Nd
0.358 0.358 0.077 Nd
0.923 0.642 0.642 Nd
0.642 0.642 0.923 Nd
0.642 0.923 0.642 Nd
0.500 0.755 0.245 Nd
0.245 0.500 0.755 Nd
0.245 0.755 0.500 Nd
0.500 0.245 0.755 Nd
0.755 0.500 0.245 Nd
0.077 0.358 0.358 Nd
```

Summary:
space group = R-3m
calculated density = 6.76 Mg/m³
DFT formation energy = 4.1 eV per formula unit
calculated total energy = -4.20 eV/atom


> calculated density of number 1 (CaAc6Nd12)?

6.76 Mg/m³


> Which of these has the lowest calculated total energy?

Th2PdRh5Pb